Entry 1:
Entry from Alexandria via LeMat-Bulk: a relaxed structure of ZrPd2Au (PBE-GGA).

Unit cell a=5.792 b=5.803 c=8.167 alpha=90.00 beta=90.00 gamma=90.00
Space group Fmmm (No. 69)
Unique sites:
Zr: 0.000 0.000 0.000 [4 per cell]
Pd: 0.250 0.250 0.250 [8 per cell]
Au: 0.000 0.000 0.500 [4 per cell]

Values from the calculation:
As for the polymorph energy (0 for the lowest one): 0.0 meV per atom. The final energy is -6.2594 eV per atom.



Entry 2:
Entry from Alexandria via LeMat-Bulk: a relaxed structure of ZrPd8Au2 (PBE-GGA).

Unit cell a=8.190 b=10.875 c=4.306 alpha=90.00 beta=90.00 gamma=90.00
Space group Cmmm (No. 65)
Unique sites:
Zr: 0.000 0.000 0.000 [2 per cell]
Pd: 0.000 0.240 0.000 [4 per cell]
Pd: 0.168 0.132 0.500 [8 per cell]
Pd: 0.171 0.500 0.000 [4 per cell]
Au: 0.000 0.376 0.500 [4 per cell]

Values from the calculation:
As for the polymorph energy (0 for the lowest one): 0.0 meV per atom. The final energy is -5.3236 eV per atom.



Entry 3:
Entry from Alexandria via LeMat-Bulk: a relaxed structure of Zr6Pd5Au (PBE-GGA).

Unit cell a=15.038 b=6.088 c=5.118 alpha=90.00 beta=105.08 gamma=90.00
Space group C2/m (No. 12)
Unique sites:
Zr: 0.000 0.248 0.000 [4 per cell]
Zr: 0.170 0.248 0.722 [8 per cell]
Pd: 0.000 0.000 0.500 [2 per cell]
Pd: 0.164 0.000 0.241 [4 per cell]
Pd: 0.164 0.500 0.242 [4 per cell]
Au: 0.000 0.500 0.500 [2 per cell]

Values from the calculation:
The final energy is -7.2899 eV per atom.